No. 1
Computed, not measured: Ca2NbNi3As4 after structural relaxation at the PBE-GGA level of DFT.

Lattice parameters (Å, degrees): 4.151 4.151 10.239 90.00 90.00 90.00
Atoms (fractional coordinates):
Ni: 0.500 0.000 0.882
As: 0.500 0.000 0.648
Ca: 0.500 0.000 0.232
Ca: 0.000 0.500 0.768
As: 0.000 0.000 0.000
As: 0.500 0.500 0.000
Ni: 0.000 0.000 0.500
As: 0.000 0.500 0.352
Ni: 0.000 0.500 0.118
Nb: 0.500 0.500 0.500

For the calculated total energy, the calculation gives -5.658 eV per atom. As for the space group: P-4m2, No. 115. As for the total magnetization: 0.00 μB per atom. Its crystal system is tetragonal. Its formation energy is -0.656 eV per atom. The calculation puts the density of states at the Fermi level at 5.41 states/eV per cell.

No. 2
Computed, not measured: SiIrRh2 after structural relaxation at the PBE-GGA level of DFT.

Lattice parameters (Å, degrees): 8.399 8.399 8.399 19.18 19.18 19.18
Last column: magnetic moment on the atom in μB.
Atoms (fractional coordinates):
Rh: 0.000 0.000 0.000  0.74
Si: 0.501 0.501 0.501  0.00
Rh: 0.241 0.241 0.241  0.12
Ir: 0.759 0.759 0.759  0.12

For the calculated total energy, the calculation gives -7.518 eV per atom. As for the space group: R3m, No. 160. As for the total magnetization: 0.25 μB per atom. Its crystal system is trigonal. As for the formation energy (no corrections): -0.272 eV per atom. The calculation puts the density of states at the Fermi level at 3.28 states/eV per cell.

No. 3
Computed, not measured: Mg5Si6 after structural relaxation at the PBE-GGA level of DFT.

Lattice parameters (Å, degrees): 5.772 5.574 13.355 96.34 103.09 89.29
Atoms (fractional coordinates):
Si: 0.899 0.307 0.483
Mg: 0.461 0.332 0.980
Si: 0.150 0.366 0.112
Mg: 0.979 0.021 0.326
Si: 0.721 0.614 0.359
Si: 0.202 0.463 0.625
Si: 0.595 0.009 0.720
Si: 0.466 0.717 0.569
Mg: 0.256 0.760 0.815
Si: 0.605 0.831 0.992
Si: 0.528 0.280 0.232
Si: 0.808 0.771 0.856
Si: 0.272 0.239 0.772
Mg: 0.217 0.555 0.366
Mg: 0.972 0.898 0.588
Si: 0.819 0.125 0.128
Mg: 0.444 0.143 0.487
Si: 0.427 0.905 0.281
Mg: 0.787 0.634 0.164
Mg: 0.189 0.839 0.062
Mg: 0.932 0.260 0.893
Mg: 0.771 0.432 0.683

For the calculated total energy, the calculation gives -3.604 eV per atom. Its energy above the most stable polymorph in this dataset is 53.9 meV/atom. As for the space group: P1, No. 1. As for the total magnetization: 0.00 μB per atom. Its crystal system is triclinic. As for the formation energy (no corrections): 0.079 eV per atom. The calculation puts the density of states at the Fermi level at 5.48 states/eV per cell.

No. 4
Computed, not measured: K3SrS after structural relaxation at the PBE-GGA level of DFT.

Lattice parameters (Å, degrees): 6.333 6.333 6.333 90.00 90.00 90.00
Atoms (fractional coordinates):
Sr: 0.500 0.500 0.500
S: 0.000 0.000 0.000
K: 0.000 0.500 0.000
K: 0.000 0.000 0.500
K: 0.500 0.000 0.000

For the calculated total energy, the calculation gives -2.200 eV per atom. Its energy above the most stable polymorph in this dataset is 0.0 meV/atom. As for the space group: Pm-3m, No. 221. As for the total magnetization: 0.00 μB per atom. Its crystal system is cubic. As for the formation energy (no corrections): -0.380 eV per atom. The calculation puts the density of states at the Fermi level at 5.24 states/eV per cell.

No. 5
Computed, not measured: TiAlOs2I after structural relaxation at the PBE-GGA level of DFT.

Lattice parameters (Å, degrees): 4.807 4.990 4.807 90.00 90.00 90.00
Atoms (fractional coordinates):
Ti: 0.500 0.500 0.500
Os: 0.500 0.000 0.000
I: 0.000 0.000 0.000
Os: 0.000 0.000 0.500
Al: 0.000 0.500 0.000

For the calculated total energy, the calculation gives -4.829 eV per atom. As for the space group: P4/mmm, No. 123. As for the total magnetization: 0.00 μB per atom. Its crystal system is tetragonal. As for the formation energy (no corrections): 2.301 eV per atom. The calculation puts the density of states at the Fermi level at 7.33 states/eV per cell.

No. 6
Computed, not measured: Rb3U3TiS8 after structural relaxation at the PBE-GGA level of DFT.

Lattice parameters (Å, degrees): 7.841 7.840 9.115 115.48 90.00 120.00
Last column: magnetic moment on the atom in μB.
Atoms (fractional coordinates):
Ti: 0.000 0.000 0.500  1.05
Rb: 0.000 0.000 0.000  0.00
U: 0.000 0.500 0.500  2.41
S: 0.268 0.535 0.303  -0.06
S: 0.781 0.036 0.318  -0.06
S: 0.219 0.964 0.682  -0.06
S: 0.732 0.465 0.697  -0.06
U: 0.500 0.000 0.500  2.41
S: 0.255 0.036 0.318  -0.06
Rb: 0.500 0.500 0.000  0.00
S: 0.219 0.438 0.682  -0.06
Rb: 0.000 0.500 0.000  0.00
U: 0.500 0.500 0.500  2.41
S: 0.745 0.964 0.682  -0.06
S: 0.781 0.562 0.318  -0.06

For the calculated total energy, the calculation gives -6.563 eV per atom. As for the space group: R-3m, No. 166. As for the total magnetization: 0.60 μB per atom. Its crystal system is trigonal. As for the formation energy (no corrections): -1.384 eV per atom. The calculation puts the density of states at the Fermi level at 12.88 states/eV per cell.

No. 7
Computed, not measured: Pu2AlOs after structural relaxation at the PBE-GGA level of DFT.

Lattice parameters (Å, degrees): 5.032 3.579 3.579 90.00 90.00 90.00
Atoms (fractional coordinates):
Al: 0.500 0.000 0.000
Pu: 0.000 0.000 0.500
Os: 0.500 0.500 0.500
Pu: 0.000 0.500 0.000

For the calculated total energy, the calculation gives -10.690 eV per atom. As for the space group: P4/mmm, No. 123. As for the total magnetization: 0.00 μB per atom. Its crystal system is tetragonal. Its formation energy is 0.219 eV per atom. The calculation puts the density of states at the Fermi level at 7.26 states/eV per cell.

No. 8
Computed, not measured: CaNd3Hg2 after structural relaxation at the PBE-GGA level of DFT.

Lattice parameters (Å, degrees): 5.322 7.197 9.615 90.00 90.00 90.00
Atoms (fractional coordinates):
Nd: 0.000 0.326 0.331
Hg: 0.000 0.762 0.347
Hg: 0.500 0.737 0.846
Hg: 0.000 0.262 0.653
Nd: 0.000 0.991 0.057
Ca: 0.500 0.013 0.447
Nd: 0.000 0.491 0.943
Nd: 0.500 0.672 0.170
Ca: 0.500 0.513 0.553
Hg: 0.500 0.237 0.154
Nd: 0.500 0.172 0.830
Nd: 0.000 0.826 0.669

For the calculated total energy, the calculation gives -3.165 eV per atom. Its energy above the most stable polymorph in this dataset is 0.0 meV/atom. As for the space group: Pmc2_1, No. 26. As for the total magnetization: 0.00 μB per atom. Its crystal system is orthorhombic. Its formation energy is -0.347 eV per atom. The calculation puts the density of states at the Fermi level at 11.39 states/eV per cell.

No. 9
Computed, not measured: CaPrGa after structural relaxation at the PBE-GGA level of DFT.

Lattice parameters (Å, degrees): 5.152 5.152 8.178 90.04 90.04 60.01
Atoms (fractional coordinates):
Pr: 0.667 0.167 0.897
Pr: 0.333 0.833 0.103
Ga: 0.000 0.500 0.821
Ca: 0.333 0.833 0.640
Ca: 0.667 0.167 0.360
Ga: 0.000 0.500 0.179

For the calculated total energy, the calculation gives -3.537 eV per atom. Its energy above the most stable polymorph in this dataset is 163.1 meV/atom. As for the space group: P-3m1, No. 164. As for the total magnetization: 0.00 μB per atom. Its crystal system is trigonal. Its formation energy is -0.267 eV per atom. The calculation puts the density of states at the Fermi level at 3.15 states/eV per cell.

No. 10
Computed, not measured: AlCdAu2 after structural relaxation at the PBE-GGA level of DFT.

Lattice parameters (Å, degrees): 3.164 3.164 8.778 79.64 79.64 60.10
Atoms (fractional coordinates):
Au: 0.260 0.260 0.223
Au: 0.074 0.074 0.777
Cd: 0.499 0.499 0.500
Al: 0.667 0.667 0.000

For the calculated total energy, the calculation gives -3.040 eV per atom. Its energy above the most stable polymorph in this dataset is 30.1 meV/atom. As for the space group: Cm, No. 8. As for the total magnetization: 0.00 μB per atom. Its crystal system is monoclinic. Its formation energy is -0.237 eV per atom. The calculation puts the density of states at the Fermi level at 1.10 states/eV per cell.

No. 11
Computed, not measured: SrInTc2 after structural relaxation at the PBE-GGA level of DFT.

Lattice parameters (Å, degrees): 5.256 5.256 5.742 73.69 73.69 42.34
Atoms (fractional coordinates):
Tc: 0.491 0.491 0.635
In: 0.750 0.750 0.750
Tc: 0.009 0.009 0.865
Sr: 0.250 0.250 0.250

For the calculated total energy, the calculation gives -5.888 eV per atom. As for the space group: C2/m, No. 12. As for the total magnetization: 0.00 μB per atom. Its crystal system is monoclinic. Its formation energy is 0.400 eV per atom. The calculation puts the density of states at the Fermi level at 4.24 states/eV per cell.

No. 12
Computed, not measured: K2Zr2Te6Au after structural relaxation at the PBE-GGA level of DFT.

Lattice parameters (Å, degrees): 7.443 7.443 8.813 97.66 97.66 122.96
Atoms (fractional coordinates):
Te: 0.418 0.073 0.703
Te: 0.739 0.739 0.681
K: 0.157 0.843 0.000
Te: 0.927 0.582 0.297
Te: 0.073 0.418 0.703
Te: 0.261 0.261 0.319
K: 0.843 0.157 0.000
Te: 0.582 0.927 0.297
Au: 0.000 0.000 0.500
Zr: 0.673 0.327 0.500
Zr: 0.327 0.673 0.500

For the calculated total energy, the calculation gives -4.487 eV per atom. As for the space group: C2/m, No. 12. As for the total magnetization: 0.00 μB per atom. Its crystal system is monoclinic. As for the formation energy (no corrections): -0.722 eV per atom. The calculation puts the density of states at the Fermi level at 7.55 states/eV per cell.